Entry a
Here is Fe2ReHg after structural relaxation from Alexandria. Energies are from GGA-PBE.

The structure in POSCAR format:
```
Fe2ReHg
1.0
-1.962 1.806 0.420
-0.948 -2.025 -1.513
-2.417 -4.327 7.303
Fe Hg Re
2 1 1
Direct
0.000 0.000 0.009 Fe
0.500 0.500 0.221 Fe
0.000 0.000 0.488 Hg
0.500 0.500 0.782 Re
```

volume	60.7	Å³/cell
symmetry	Cmm2, No. 35
crystal system	orthorhombic
DOS(E_F)	3.1	states/eV per cell



Entry b
Here is Fe2ReHg after structural relaxation from Alexandria. Energies are from GGA-PBE.

The structure in POSCAR format:
```
Fe2ReHg
1.0
0.000 3.062 3.062
3.062 0.000 3.062
3.062 3.062 0.000
Re Hg Fe
1 1 2
Direct
0.000 0.000 0.000 Re
0.500 0.500 0.500 Hg
0.250 0.250 0.250 Fe
0.750 0.750 0.750 Fe
```

volume	57.4	Å³/cell
symmetry	Fm-3m, No. 225
crystal system	cubic
DOS(E_F)	3.5	states/eV per cell



Which structure is the most stable? The one labeled entry a.



Entry a
Here is Fe2ReHg after structural relaxation from Alexandria. Energies are from GGA-PBE.

The structure in POSCAR format:
```
Fe2ReHg
1.0
-0.893 4.104 2.169
-1.644 2.069 3.919
3.982 0.690 2.512
Fe Hg Re
2 1 1
Direct
0.006 0.006 0.013 Fe
0.736 0.736 0.768 Fe
0.496 0.496 0.520 Hg
0.262 0.262 0.199 Re
```

volume	58.4	Å³/cell
symmetry	Cm, No. 8
crystal system	monoclinic
DOS(E_F)	3.8	states/eV per cell



Entry b
Here is Fe2ReHg after structural relaxation from Alexandria. Energies are from GGA-PBE.

The structure in POSCAR format:
```
Fe2ReHg
1.0
4.599 0.045 -0.014
1.069 4.474 0.014
-2.825 -2.271 2.832
Fe Hg Re
2 1 1
Direct
0.000 0.000 0.000 Fe
0.500 0.500 0.000 Fe
0.750 0.250 0.500 Hg
0.250 0.750 0.500 Re
```

volume	58.1	Å³/cell
symmetry	I4/mmm, No. 139
crystal system	tetragonal
DOS(E_F)	5.0	states/eV per cell



Entry c
Here is Fe2ReHg after structural relaxation from Alexandria. Energies are from GGA-PBE.

The structure in POSCAR format:
```
Fe2ReHg
1.0
-4.209 0.110 2.236
-2.826 -3.484 -1.612
4.490 0.013 1.602
Fe Hg Re
2 1 1
Direct
0.000 0.000 0.000 Fe
0.250 0.750 0.500 Fe
0.500 0.500 0.000 Hg
0.750 0.250 0.500 Re
```

volume	58.0	Å³/cell
symmetry	I-4m2, No. 119
crystal system	tetragonal
DOS(E_F)	3.9	states/eV per cell



Entry d
Here is Fe2ReHg after structural relaxation from Alexandria. Energies are from GGA-PBE.

The structure in POSCAR format:
```
Fe2ReHg
1.0
8.960 -0.007 -0.004
8.521 2.772 -0.004
8.521 1.348 2.422
Fe Hg Re
2 1 1
Direct
0.007 0.007 0.007 Fe
0.493 0.493 0.493 Fe
0.250 0.250 0.250 Hg
0.750 0.750 0.750 Re
```

volume	60.4	Å³/cell
symmetry	R-3m, No. 166
crystal system	trigonal
DOS(E_F)	3.9	states/eV per cell



Which structure is the most stable? The one labeled entry d.



Entry a
Here is Fe2ReHg after structural relaxation from Alexandria. Energies are from GGA-PBE.

The structure in POSCAR format:
```
Fe2ReHg
1.0
-1.530 3.449 -2.583
-1.757 1.100 -4.076
-4.844 -0.304 1.215
Fe Hg Re
2 1 1
Direct
0.995 0.995 0.054 Fe
0.505 0.505 0.446 Fe
0.750 0.750 0.750 Hg
0.250 0.250 0.250 Re
```

volume	60.2	Å³/cell
symmetry	C2/m, No. 12
crystal system	monoclinic
DOS(E_F)	3.5	states/eV per cell



Entry b
Here is Fe2ReHg after structural relaxation from Alexandria. Energies are from GGA-PBE.

The structure in POSCAR format:
```
Fe2ReHg
1.0
-2.555 0.476 0.748
0.025 -0.296 -2.688
-1.313 -8.493 0.922
Fe Hg Re
2 1 1
Direct
0.000 0.000 0.981 Fe
0.000 0.000 0.519 Fe
0.500 0.500 0.250 Hg
0.500 0.500 0.750 Re
```

volume	60.2	Å³/cell
symmetry	Cmmm, No. 65
crystal system	orthorhombic
DOS(E_F)	2.7	states/eV per cell



Which structure is the most stable? The one labeled entry b.



Entry a
Here is Fe2ReHg after structural relaxation from Alexandria. Energies are from GGA-PBE.

The structure in POSCAR format:
```
Fe2ReHg
1.0
4.737 -0.102 -0.012
-1.261 4.567 -0.012
0.008 0.010 2.738
Fe Hg Re
2 1 1
Direct
0.000 0.000 0.000 Fe
0.500 0.500 0.000 Fe
0.500 0.000 0.500 Hg
0.000 0.500 0.500 Re
```

volume	58.9	Å³/cell
symmetry	Cmmm, No. 65
crystal system	orthorhombic
DOS(E_F)	4.8	states/eV per cell



Entry b
Here is Fe2ReHg after structural relaxation from Alexandria. Energies are from GGA-PBE.

The structure in POSCAR format:
```
Fe2ReHg
1.0
-4.202 -7.812 -0.995
-1.852 -8.727 0.279
-4.012 -7.762 1.824
Fe Hg Re
2 1 1
Direct
0.998 0.998 0.998 Fe
0.260 0.260 0.260 Fe
0.503 0.503 0.503 Hg
0.739 0.739 0.739 Re
```

volume	60.7	Å³/cell
symmetry	R3m, No. 160
crystal system	trigonal
DOS(E_F)	3.3	states/eV per cell



Entry c
Here is Fe2ReHg after structural relaxation from Alexandria. Energies are from GGA-PBE.

The structure in POSCAR format:
```
Fe2ReHg
1.0
3.635 0.000 0.000
0.000 2.812 -0.015
0.000 2.844 5.749
Fe Hg Re
2 1 1
Direct
0.000 0.046 0.954 Fe
0.000 0.454 0.546 Fe
0.500 0.250 0.250 Hg
0.500 0.750 0.750 Re
```

volume	58.9	Å³/cell
symmetry	Pmmm, No. 47
crystal system	orthorhombic
DOS(E_F)	3.9	states/eV per cell



Entry d
Here is Fe2ReHg after structural relaxation from Alexandria. Energies are from GGA-PBE.

The structure in POSCAR format:
```
Fe2ReHg
1.0
-1.283 -0.309 4.316
-0.769 -4.414 -0.544
2.728 -0.570 0.770
Fe Hg Re
2 1 1
Direct
0.000 0.000 0.000 Fe
0.500 0.500 0.000 Fe
0.500 0.000 0.500 Hg
0.000 0.500 0.500 Re
```

volume	58.9	Å³/cell
symmetry	P4/mmm, No. 123
crystal system	tetragonal
DOS(E_F)	4.6	states/eV per cell



Which structure is the most stable? The one labeled entry c.